Compound: Ga3AgAu
Source: Alexandria via LeMat-Bulk
Functional: GGA-PBE
Structure: optimized geometry

Cell: 6.6955 5.4489 10.1908 Å, 90.00 87.35 90.00°
Sites, in units of the cell vectors:
Ga1 0.7011 0.4492 0.7108
Ga2 0.4474 0.7426 0.5190
Ga3 0.7011 0.5508 0.2108
Ga4 0.5526 0.7426 0.9810
Ga5 0.2989 0.4492 0.7892
Ga6 0.4474 0.2574 0.0190
Ga7 0.5526 0.2574 0.4810
Ga8 0.1533 0.8424 0.0785
Ga9 0.2989 0.5508 0.2892
Ga10 0.8467 0.8424 0.4215
Ga11 0.8467 0.1576 0.9215
Ga12 0.1533 0.1576 0.5785
Ag1 0.2904 0.0469 0.3069
Ag2 0.2904 0.9531 0.8069
Ag3 0.7096 0.9531 0.6931
Ag4 0.7096 0.0469 0.1931
Au1 0.9318 0.3379 0.3920
Au2 0.0682 0.3379 0.1080
Au3 0.0682 0.6621 0.6080
Au4 0.9318 0.6621 0.8920

Computed properties:
total magnetic moment = 0.00 μB/cell
ΔE to the lowest computed polymorph = 0 meV per atom
ΔE_f = -0.05 eV/atom